# 1
VASP calculation (PBE) on crystalline Th8FeC3Se4 at its relaxed geometry.

Calculated values
- SG: No. 166
- Electronic total energy: -7.81 eV/atom

Structure (extended XYZ):
```
16
Lattice="3.9296 2.2688 6.9955 -3.9296 2.2688 6.9955 0.0000 -4.5375 6.9955" Properties=species:S:1:pos:R:3 pbc="T T T"
Th -2.0028 -1.1563 11.9185
Th 0.0000 0.0000 4.9131
Th 0.0000 -2.3127 9.0680
Th -2.0028 1.1563 9.0680
Th 2.0028 -1.1563 11.9184
Th 0.0000 2.3127 11.9184
Th 0.0000 0.0000 16.0733
Th 2.0028 1.1563 9.0680
Fe 0.0000 0.0000 10.4932
C -3.9296 0.0000 10.4932
C -1.9648 1.1344 3.4977
C 1.9648 1.1344 3.4977
Se 0.0000 0.0000 0.0000
Se -1.9648 -1.1344 6.9955
Se -1.9648 1.1344 13.9910
Se 0.0000 2.2687 6.9955
```

=====

# 2
VASP calculation (PBE) on crystalline Th4FeCSe2 at its relaxed geometry.

Calculated values
- SG: No. 10
- Electronic total energy: -7.68 eV/atom

Structure (extended XYZ):
```
8
Lattice="7.0175 0.0000 0.0000 0.0000 3.8783 0.0000 -2.3868 0.0000 7.0893" Properties=species:S:1:pos:R:3 pbc="T T T"
Th 1.0559 0.0000 1.4673
Th -0.0187 1.9392 5.6531
Th 4.6493 1.9392 1.4362
Th 3.5747 0.0000 5.6219
Fe 3.5087 0.0000 0.0000
C 0.0000 1.9392 0.0000
Se -1.1934 0.0000 3.5446
Se 2.3153 1.9392 3.5446
```

=====

# 3
VASP calculation (PBE) on crystalline Y2FeCSe at its relaxed geometry.

Calculated values
- Energy above the lowest structure with this stoichiometry: 5.456 eV per formula unit
- SG: No. 123

Structure (extended XYZ):
```
5
Lattice="4.8792 0.0000 0.0000 0.0000 4.8792 0.0000 0.0000 0.0000 4.0641" Properties=species:S:1:pos:R:3 pbc="T T T"
Y 0.0000 2.4396 0.0000
Y 2.4396 0.0000 0.0000
Fe 0.0000 0.0000 2.0321
C 2.4396 2.4396 0.0000
Se 2.4396 2.4396 2.0321
```

=====

# 4
VASP calculation (PBE) on crystalline Y2FeCSe at its relaxed geometry.

Calculated values
- Energy above the lowest structure with this stoichiometry: 0.000 eV per formula unit
- SG: No. 123

Structure (extended XYZ):
```
5
Lattice="5.0183 0.0000 0.0000 0.0000 5.0183 0.0000 0.0000 0.0000 3.6793" Properties=species:S:1:pos:R:3 pbc="T T T"
Y 0.0000 2.5091 0.0000
Y 2.5091 0.0000 0.0000
Fe 0.0000 0.0000 1.8396
C 0.0000 0.0000 0.0000
Se 2.5091 2.5091 1.8396
```

=====

# 5
VASP calculation (PBE) on crystalline FeSiC at its relaxed geometry.

Calculated values
- Energy above the lowest structure with this stoichiometry: 0.128 eV per formula unit
- SG: No. 156

Structure (extended XYZ):
```
3
Lattice="2.7694 0.0000 0.0000 -1.3847 2.3984 0.0000 0.0000 0.0000 4.6365" Properties=species:S:1:pos:R:3 pbc="T T T"
Fe 0.0000 0.0000 0.0000
Si 1.3847 0.7995 2.9389
C 1.3847 0.7995 1.0989
```

=====

# 6
VASP calculation (PBE) on crystalline FeSiC3 at its relaxed geometry.

Calculated values
- Energy above the lowest structure with this stoichiometry: 0.337 eV per formula unit
- SG: No. 8

Structure (extended XYZ):
```
5
Lattice="2.6394 -1.3729 0.0000 2.6394 1.3729 0.0000 -0.0965 0.0000 6.0572" Properties=species:S:1:pos:R:3 pbc="T T T"
Fe 0.0000 0.0000 0.0000
Si 0.4594 0.0000 3.6506
C 2.1235 0.0000 2.7267
C 2.1739 0.0000 1.3718
C 3.5563 0.0000 5.0337
```

=====

# 7
VASP calculation (PBE) on crystalline Fe6Si2C at its relaxed geometry.

Calculated values
- SG: No. 128
- Electronic total energy: -8.01 eV/atom

Structure (extended XYZ):
```
18
Lattice="5.0399 0.0000 0.0000 0.0000 5.0399 0.0000 0.0000 0.0000 7.5065" Properties=species:S:1:pos:R:3 pbc="T T T"
Fe 0.0000 0.0000 1.8434
Fe 0.0000 0.0000 5.6631
Fe 0.9481 1.4835 0.0000
Fe 1.0365 1.5719 3.7533
Fe 1.4835 4.0918 0.0000
Fe 1.5719 4.0034 3.7533
Fe 2.5199 2.5199 1.9098
Fe 2.5199 2.5199 5.5967
Fe 3.4680 1.0365 3.7533
Fe 3.5564 0.9481 0.0000
Fe 4.0034 3.4680 3.7533
Fe 4.0918 3.5564 0.0000
Si 0.0000 2.5199 1.8766
Si 0.0000 2.5199 5.6299
Si 2.5199 0.0000 1.8766
Si 2.5199 0.0000 5.6299
C 0.0000 0.0000 3.7533
C 2.5199 2.5199 0.0000
```

=====

# 8
VASP calculation (PBE) on crystalline FeSi3C at its relaxed geometry.

Calculated values
- Energy above the lowest structure with this stoichiometry: 0.000 eV per formula unit
- SG: No. 221

Structure (extended XYZ):
```
5
Lattice="3.8842 0.0000 0.0000 0.0000 3.8842 0.0000 0.0000 0.0000 3.8842" Properties=species:S:1:pos:R:3 pbc="T T T"
Fe 0.0000 0.0000 0.0000
Si 0.0000 1.9421 1.9421
Si 1.9421 0.0000 1.9421
Si 1.9421 1.9421 0.0000
C 1.9421 1.9421 1.9421
```

=====

| no. | DOS(E_F) (states/eV/cell) |
| --- | --- |
| 1 | 10.4 |
| 2 | 6.3 |
| 3 | 5.6 |
| 4 | 3.9 |
| 5 | 0.1 |
| 6 | 1.2 |
| 7 | 23.7 |
| 8 | 4.2 |